Computed, not measured: a crystal of ScCuTeN2 relaxed with PBEsol at the meta-GGA SCAN level of DFT.

POSCAR file:
```
ScCuTeN2
1.0
-1.262 2.796 2.759
-3.193 0.959 -2.432
-2.558 -3.217 2.090
Sc Te Cu N
1 1 1 2
direct
0.500 0.500 0.500 Sc
0.000 0.000 0.000 Te
0.000 0.000 0.500 Cu
0.000 0.500 0.000 N
0.500 0.000 0.000 N
```

Summary:
- Total moment: 0.0000 μB/atom
- Crystal system: tetragonal
- Symmetry: P4/mmm, No. 123
- E: -80.07 eV for the cell shown

Computed, not measured: a crystal of ScCuTe2N relaxed with PBEsol at the meta-GGA SCAN level of DFT.

POSCAR file:
```
ScCuTe2N
1.0
3.616 0.000 0.000
0.000 5.230 0.000
0.000 0.000 5.230
Sc Te Cu N
1 2 1 1
direct
0.500 0.500 0.500 Sc
0.000 0.000 0.500 Te
0.000 0.500 0.000 Te
0.000 0.000 0.000 Cu
0.500 0.000 0.000 N
```

Summary:
- Total moment: 0.3006 μB/atom
- Crystal system: tetragonal
- Symmetry: P4/mmm, No. 123
- E: -112.22 eV for the cell shown

Computed, not measured: a crystal of SrCuSe2N relaxed with PBEsol at the meta-GGA SCAN level of DFT.

POSCAR file:
```
SrCuSe2N
1.0
4.694 0.000 0.000
0.000 5.681 0.000
0.000 0.000 5.681
Sr Cu Se N
1 1 2 1
direct
0.000 0.000 0.000 Sr
0.500 0.500 0.500 Cu
0.000 0.000 0.500 Se
0.000 0.500 0.000 Se
0.500 0.000 0.000 N
```

Summary:
- Total moment: 0.8047 μB/atom
- Crystal system: tetragonal
- Symmetry: P4/mmm, No. 123
- E: -81.80 eV for the cell shown

Computed, not measured: a crystal of CuTeSeN2 relaxed with PBEsol at the meta-GGA SCAN level of DFT.

POSCAR file:
```
CuTeSeN2
1.0
-2.365 -2.107 -2.349
-2.348 -0.786 3.069
-2.547 3.913 -0.946
Te Cu Se N
1 1 1 2
direct
0.500 0.500 0.500 Te
0.000 0.000 0.000 Cu
0.000 0.000 0.500 Se
0.000 0.500 0.000 N
0.500 0.000 0.000 N
```

Summary:
- Total moment: 0.6141 μB/atom
- Crystal system: tetragonal
- Symmetry: P4/mmm, No. 123
- E: -83.80 eV for the cell shown

Q: The lowest E belongs to which entry?
A: ScCuTe2N

Q: What is the total moment in the third record?
A: 0.8047 μB/atom